# 1
Computed, not measured: MgAg2IrOs at its PBEsol-relaxed geometry at the meta-GGA SCAN level of DFT.

a = 4.6494 Å, b = 4.9695 Å, c = 4.9695 Å
α = 90.00°, β = 90.00°, γ = 90.00°
Closest atoms and distances in Å follow each position.
Fractional positions:
1 Ag 0.0000 0.5000 0.0000  2 Ir 2.48
2 Ag 0.0000 0.0000 0.5000  2 Ir 2.48
3 Mg 0.5000 0.5000 0.5000  8 Ag 3.40, 4 Os 3.51
4 Ir 0.0000 0.0000 0.0000  2 Os 2.32, 4 Ag 2.48
5 Os 0.5000 0.0000 0.0000  2 Ir 2.32

Calculated density = 9.00 g/cm3
M_tot = 1.35 μB per cell
Energy relative to the elements = 1214 meV per atom
Final energy = -40.92 eV per atom

# 2
Computed, not measured: MgAg2IrPt at its PBEsol-relaxed geometry at the meta-GGA SCAN level of DFT.

a = 4.7054 Å, b = 4.9930 Å, c = 4.9930 Å
α = 90.00°, β = 90.00°, γ = 90.00°
Closest atoms and distances in Å follow each position.
Fractional positions:
1 Mg 0.5000 0.5000 0.5000  8 Ag 3.43, 4 Pt 3.53
2 Ir 0.0000 0.0000 0.0000  2 Pt 2.35, 4 Ag 2.50
3 Pt 0.5000 0.0000 0.0000  2 Ir 2.35
4 Ag 0.0000 0.5000 0.0000  2 Ir 2.50
5 Ag 0.0000 0.0000 0.5000  2 Ir 2.50

Calculated density = 8.88 g/cm3
M_tot = 0.00 μB per cell
Energy relative to the elements = 854 meV per atom
Final energy = -40.95 eV per atom